DFT (PBE) results for Ac3PrAu2 after structural relaxation.

```
data_Ac3PrAu2
_chemical_formula_sum 'Ac12 Pr4 Au8'
_cell_length_a 7.5902
_cell_length_b 14.8543
_cell_length_c 8.0244
_cell_angle_alpha 90.00
_cell_angle_beta 90.00
_cell_angle_gamma 90.00
_symmetry_space_group_name_H-M 'I b a m'
_symmetry_Int_Tables_number 72
_symmetry_space_group_name_Hall '-I 2 2c'
loop_
_atom_site_label
_atom_site_fract_x
_atom_site_fract_y
_atom_site_fract_z
_atom_site_occupancy
Ac1 0.0000 0.0000 0.2500 1
Ac2 0.0000 0.2742 0.2500 1
Pr1 0.0000 0.5000 0.0000 1
Au1 0.2000 0.1405 0.0000 1
```

Summary:
The calculation puts the energy above the most stable polymorph in this dataset at 0.63 eV per formula unit. The value obtained for the energy is -104.420 eV/cell.

---

DFT (PBE) results for Tl2BiRu after structural relaxation.

```
data_Tl2BiRu
_chemical_formula_sum 'Tl8 Bi4 Ru4'
_cell_length_a 10.4896
_cell_length_b 10.4896
_cell_length_c 5.3025
_cell_angle_alpha 90.00
_cell_angle_beta 90.00
_cell_angle_gamma 90.00
_symmetry_space_group_name_H-M 'I -4 2 d'
_symmetry_Int_Tables_number 122
_symmetry_space_group_name_Hall 'I -4 2bw'
loop_
_atom_site_label
_atom_site_fract_x
_atom_site_fract_y
_atom_site_fract_z
_atom_site_occupancy
Tl1 0.0010 0.2500 0.1250 1
Bi1 0.0000 0.0000 0.5000 1
Ru1 0.0000 0.0000 0.0000 1
```

Summary:
The calculation puts the energy above the most stable polymorph in this dataset at 0.00 eV per formula unit. The value obtained for the energy is -65.079 eV/cell.